(1)
! CoAsPt2, optimized geometry, DFT GGA-PBEsol; values from VASP
&SYSTEM
  ibrav = 0, nat = 4, ntyp = 3
/
ATOMIC_SPECIES
As 74.92 As.upf
Co 58.93 Co.upf
Pt 195.08 Pt.upf
CELL_PARAMETERS angstrom
-0.768 -2.711 2.697
2.732 -2.314 -1.547
1.593 4.038 1.691
ATOMIC_POSITIONS crystal
As 0.500 0.500 0.000
Co 0.250 0.750 0.500
Pt 0.000 0.000 0.000
Pt 0.750 0.250 0.500
! Crystal system = tetragonal
! N(E_F) = 1.197 states/eV per atom
! Calculated total energy = -6.620 eV/atom
! Formation enthalpy at 0 K = 0.07 eV per atom
! Symmetry = I-4m2 (119)

=====

(2)
! CoAsPBr2, optimized geometry, DFT GGA-PBEsol; values from VASP
&SYSTEM
  ibrav = 0, nat = 5, ntyp = 4
/
ATOMIC_SPECIES
P 30.97 P.upf
As 74.92 As.upf
Co 58.93 Co.upf
Br 79.90 Br.upf
CELL_PARAMETERS angstrom
4.999 0.000 0.000
0.000 4.842 0.000
0.000 0.000 4.842
ATOMIC_POSITIONS crystal
P 0.000 0.000 0.000
As 0.500 0.000 0.000
Co 0.500 0.500 0.500
Br 0.000 0.000 0.500
Br 0.000 0.500 0.000
! Crystal system = tetragonal
! N(E_F) = 1.296 states/eV per atom
! Calculated total energy = -3.457 eV/atom
! Formation energy without anion corrections = 1.02 eV/atom
! Symmetry = P4/mmm (123)

=====

(3)
! KTiAgS2, optimized geometry, DFT GGA-PBEsol; values from VASP
&SYSTEM
  ibrav = 0, nat = 5, ntyp = 4
/
ATOMIC_SPECIES
K 39.10 K.upf
S 32.06 S.upf
Ag 107.87 Ag.upf
Ti 47.87 Ti.upf
CELL_PARAMETERS angstrom
-2.343 -3.694 1.488
3.118 -2.776 -1.982
3.613 -0.002 5.686
ATOMIC_POSITIONS crystal
K 0.000 0.000 0.500
S 0.000 0.500 0.000
S 0.500 0.000 0.000
Ag 0.500 0.500 0.500
Ti 0.000 0.000 0.000
! Crystal system = tetragonal
! N(E_F) = 0.922 states/eV per atom
! Calculated total energy = -4.331 eV/atom
! Formation energy without anion corrections = -0.02 eV/atom
! Symmetry = P4/mmm (123)

=====

(4)
! Ge2Bi2Te5, optimized geometry, DFT GGA-PBEsol; values from VASP
&SYSTEM
  ibrav = 0, nat = 9, ntyp = 3
/
ATOMIC_SPECIES
Ge 72.64 Ge.upf
Te 127.60 Te.upf
Bi 208.98 Bi.upf
CELL_PARAMETERS angstrom
-3.845 0.488 -1.753
2.467 -3.266 -1.159
-6.931 -9.672 12.507
ATOMIC_POSITIONS crystal
Ge 0.000 0.000 0.343
Ge 0.000 0.000 0.657
Te 0.000 0.000 0.000
Te 0.333 0.667 0.774
Te 0.667 0.333 0.226
Te 0.333 0.667 0.423
Te 0.667 0.333 0.577
Bi 0.333 0.667 0.121
Bi 0.667 0.333 0.879
! Crystal system = trigonal
! N(E_F) = 0.078 states/eV per atom
! Calculated total energy = -4.143 eV/atom
! Formation energy without anion corrections = -0.13 eV/atom
! Symmetry = P-3m1 (164)